# 1
## TlSb2Te (PBE)

Data for an optimized crystal structure of TlSb2Te.

Summary:
SG: C2/m (12)

```
data_TlSb2Te
_chemical_formula_sum 'Tl2 Sb4 Te2'
_cell_length_a 13.709
_cell_length_b 3.449
_cell_length_c 5.738
_cell_angle_alpha 90.00
_cell_angle_beta 114.13
_cell_angle_gamma 90.00
_symmetry_space_group_name_H-M 'P 1'
_symmetry_Int_Tables_number 1
loop_
_symmetry_equiv_pos_as_xyz
'x,y,z'
loop_
_atom_site_label
_atom_site_fract_x
_atom_site_fract_y
_atom_site_fract_z
Tl1 0.000 0.000 0.000
Tl2 0.500 0.500 0.000
Sb1 0.245 0.500 0.745
Sb2 0.255 0.000 0.255
Sb3 0.745 0.000 0.745
Sb4 0.755 0.500 0.255
Te1 0.000 0.500 0.500
Te2 0.500 0.000 0.500
```

=====

# 2
## Tl2SbTe (PBE)

Data for an optimized crystal structure of Tl2SbTe.

Summary:
SG: Pmm2 (25)

```
data_Tl2SbTe
_chemical_formula_sum 'Tl2 Sb1 Te1'
_cell_length_a 3.296
_cell_length_b 6.000
_cell_length_c 6.377
_cell_angle_alpha 90.00
_cell_angle_beta 90.00
_cell_angle_gamma 90.00
_symmetry_space_group_name_H-M 'P 1'
_symmetry_Int_Tables_number 1
loop_
_symmetry_equiv_pos_as_xyz
'x,y,z'
loop_
_atom_site_label
_atom_site_fract_x
_atom_site_fract_y
_atom_site_fract_z
Tl1 0.000 0.000 0.000
Tl2 0.500 0.500 0.486
Sb1 0.000 0.000 0.500
Te1 0.500 0.500 0.987
```

=====

For each record above, in turn, the calculated raw formation energy values are 0.3; -0.1 eV/f.u..